No. 1
## EuScCuAg (PBE)

Data for a geometry-optimized EuScCuAg structure.

Results
Total DFT energy (no corrections) ... -5.992 eV per atom
Theoretical density ... 6.9 g/cm3
D(E_F) ... 29.45 states/eV/cell

a b c (Å): 7.084 7.084 7.084
angles (deg): 90.00 90.00 90.00
Space group F-43m (No. 216)
Asymmetric unit:
Eu 0.000 0.000 0.000 x4
Sc 0.000 0.000 0.500 x4
Cu 0.250 0.250 0.250 x4
Ag 0.250 0.250 0.750 x4



No. 2
## SmEuCuAg (PBE)

Data for a geometry-optimized SmEuCuAg structure.

Results
Total DFT energy (no corrections) ... -5.657 eV per atom
Theoretical density ... 7.9 g/cm3
D(E_F) ... 34.42 states/eV/cell

a b c (Å): 7.352 7.352 7.352
angles (deg): 90.00 90.00 90.00
Space group F-43m (No. 216)
Asymmetric unit:
Sm 0.000 0.000 0.000 x4
Eu 0.000 0.000 0.500 x4
Cu 0.250 0.250 0.750 x4
Ag 0.250 0.250 0.250 x4